(1)
This record from Alexandria via LeMat-Bulk describes a geometry-optimized Zr3CuO structure. The functional is PBE-GGA.

Results
Total magnetic moment, μB/f.u.: 0.0
Theoretical density, g/cm3: 6.8
Formation energy without anion corrections, meV/atom: -988
Calculated total energy, hartree per atom: -0.291
Fermi-level density of states, states/eV per cell: 4.0

Unit cell a=4.419 b=4.419 c=4.419 alpha=90.00 beta=90.00 gamma=90.00
Element x y z (fractional)
Zr: 0.000 0.000 0.500
Zr: 0.000 0.500 0.000
Zr: 0.500 0.000 0.000
Cu: 0.500 0.500 0.500
O: 0.000 0.000 0.000

***

(2)
This record from Alexandria via LeMat-Bulk describes a geometry-optimized La2Pm4Sn3H2 structure. The functional is PBE-GGA.

Results
Total magnetic moment, μB/f.u.: 0.0
Theoretical density, g/cm3: 6.7
Calculated total energy, hartree per atom: -0.181
Fermi-level density of states, states/eV per cell: 11.7

Unit cell a=13.363 b=13.363 c=13.363 alpha=159.10 beta=159.10 gamma=29.72
Element x y z (fractional)
La: 0.199 0.199 0.000
La: 0.801 0.801 0.000
Pm: 0.081 0.581 0.500
Pm: 0.419 0.919 0.500
Pm: 0.581 0.081 0.500
Pm: 0.919 0.419 0.500
Sn: 0.328 0.328 0.000
Sn: 0.500 0.500 0.000
Sn: 0.672 0.672 0.000
H: 0.100 0.100 0.000
H: 0.900 0.900 0.000

***

(3)
This record from Alexandria via LeMat-Bulk describes a geometry-optimized AcY4Tl5 structure. The functional is PBE-GGA.

Results
Total magnetic moment, μB/f.u.: 0.0
Theoretical density, g/cm3: 9.2
Calculated total energy, hartree per atom: -0.167
Fermi-level density of states, states/eV per cell: 7.6
ΔH_f (0 K), meV per atom: -369

Unit cell a=3.811 b=3.811 c=19.887 alpha=90.00 beta=90.00 gamma=90.00
Element x y z (fractional)
Ac: 0.000 0.000 0.000
Y: 0.000 0.000 0.213
Y: 0.000 0.000 0.405
Y: 0.000 0.000 0.595
Y: 0.000 0.000 0.787
Tl: 0.500 0.500 0.118
Tl: 0.500 0.500 0.310
Tl: 0.500 0.500 0.500
Tl: 0.500 0.500 0.690
Tl: 0.500 0.500 0.882

***

(4)
This record from Alexandria via LeMat-Bulk describes a geometry-optimized BaZn3Ag structure. The functional is PBE-GGA.

Results
Total magnetic moment, μB/f.u.: 0.0
Theoretical density, g/cm3: 6.3
Calculated total energy, hartree per atom: -0.070
Fermi-level density of states, states/eV per cell: 6.1
E above lowest polymorph, kJ/mol of atoms: 0.0
ΔH_f (0 K), meV per atom: -179

Unit cell a=6.666 b=6.806 c=6.120 alpha=90.00 beta=122.40 gamma=90.00
Element x y z (fractional)
Ba: 0.000 0.000 0.000
Ba: 0.500 0.500 0.000
Zn: 0.006 0.250 0.511
Zn: 0.006 0.750 0.511
Zn: 0.364 0.000 0.728
Zn: 0.506 0.250 0.511
Zn: 0.506 0.750 0.511
Zn: 0.864 0.500 0.728
Ag: 0.127 0.500 0.252
Ag: 0.627 0.000 0.252